No. 1
{
  "formula": "Ni3Pt",
  "functional": "GGA-PBE",
  "state": "optimized geometry",
  "volume_a3_per_cell": 97.9,
  "sg": "No. 65",
  "final_energy_ev_per_atom": -5.91,
  "formation_enthalpy_0k_mev_per_atom": -60.2,
  "lattice_angstrom": [[3.633, 0.000, 0.000], [0.000, 5.183, 0.000], [0.000, 2.591, 5.198]],
  "species": ["Ni", "Ni", "Ni", "Ni", "Ni", "Ni", "Pt", "Pt"],
  "fractional_positions": [[0.000, 0.012, 0.000], [0.500, 0.128, 0.243], [0.000, 0.250, 0.500], [0.500, 0.372, 0.757], [0.000, 0.488, 0.000], [0.000, 0.750, 0.500], [0.500, 0.621, 0.258], [0.500, 0.879, 0.742]]
}

No. 2
{
  "formula": "Ni4Pt3",
  "functional": "GGA-PBE",
  "state": "optimized geometry",
  "volume_a3_per_cell": 265.2,
  "sg": "No. 176",
  "final_energy_ev_per_atom": -5.52,
  "formation_enthalpy_0k_mev_per_atom": 370.2,
  "lattice_angstrom": [[-1.792, 0.949, -1.645], [2.594, -7.634, -7.229], [-7.737, -1.895, 7.336]],
  "species": ["Ni", "Ni", "Ni", "Ni", "Ni", "Ni", "Ni", "Ni", "Pt", "Pt", "Pt", "Pt", "Pt", "Pt"],
  "fractional_positions": [[0.750, 0.333, 0.667], [0.250, 0.667, 0.333], [0.750, 0.709, 0.575], [0.750, 0.866, 0.291], [0.750, 0.425, 0.134], [0.250, 0.291, 0.425], [0.250, 0.134, 0.709], [0.250, 0.575, 0.866], [0.750, 0.911, 0.543], [0.750, 0.633, 0.089], [0.750, 0.457, 0.367], [0.250, 0.089, 0.457], [0.250, 0.367, 0.911], [0.250, 0.543, 0.633]]
}

No. 3
{
  "formula": "NiPt",
  "functional": "GGA-PBE",
  "state": "optimized geometry",
  "volume_a3_per_cell": 293.6,
  "sg": "No. 223",
  "final_energy_ev_per_atom": -4.95,
  "formation_enthalpy_0k_mev_per_atom": 961.7,
  "lattice_angstrom": [[-3.897, 5.327, 0.781], [-1.087, 0.166, -6.555], [-5.273, -3.971, 0.774]],
  "species": ["Ni", "Ni", "Ni", "Ni", "Ni", "Ni", "Pt", "Pt", "Pt", "Pt", "Pt", "Pt"],
  "fractional_positions": [[0.250, 0.000, 0.500], [0.750, 0.000, 0.500], [0.000, 0.500, 0.250], [0.000, 0.500, 0.750], [0.500, 0.250, 0.000], [0.500, 0.750, 0.000], [0.250, 0.500, 0.000], [0.750, 0.500, 0.000], [0.500, 0.000, 0.250], [0.500, 0.000, 0.750], [0.000, 0.250, 0.500], [0.000, 0.750, 0.500]]
}

No. 4
{
  "formula": "NiPt",
  "functional": "GGA-PBE",
  "state": "optimized geometry",
  "volume_a3_per_cell": 108.0,
  "sg": "No. 139",
  "final_energy_ev_per_atom": -5.97,
  "formation_enthalpy_0k_mev_per_atom": -59.0,
  "lattice_angstrom": [[-1.283, -2.410, 2.628], [7.720, 0.871, 1.836], [-1.685, 2.871, 1.811]],
  "species": ["Ni", "Ni", "Ni", "Ni", "Pt", "Pt", "Pt", "Pt"],
  "fractional_positions": [[0.000, 0.000, 0.000], [0.617, 0.233, 0.117], [0.883, 0.767, 0.383], [0.500, 0.000, 0.500], [0.250, 0.500, 0.250], [0.115, 0.230, 0.615], [0.750, 0.500, 0.750], [0.385, 0.770, 0.885]]
}

No. 5
{
  "formula": "NiPt2",
  "functional": "GGA-PBE",
  "state": "optimized geometry",
  "volume_a3_per_cell": 171.6,
  "sg": "No. 141",
  "final_energy_ev_per_atom": -6.02,
  "formation_enthalpy_0k_mev_per_atom": -65.3,
  "lattice_angstrom": [[3.843, 0.000, 0.000], [-1.921, 11.778, -0.012], [0.000, 0.631, 3.790]],
  "species": ["Ni", "Ni", "Ni", "Ni", "Pt", "Pt", "Pt", "Pt", "Pt", "Pt", "Pt", "Pt"],
  "fractional_positions": [[0.001, 0.003, 0.999], [0.582, 0.164, 0.918], [0.332, 0.664, 0.668], [0.251, 0.503, 0.249], [0.167, 0.333, 0.833], [0.752, 0.504, 0.748], [0.917, 0.833, 0.583], [0.502, 0.004, 0.498], [0.081, 0.163, 0.419], [0.667, 0.333, 0.333], [0.831, 0.663, 0.169], [0.417, 0.833, 0.083]]
}

No. 6
{
  "formula": "NiPt3",
  "functional": "GGA-PBE",
  "state": "optimized geometry",
  "volume_a3_per_cell": 58.8,
  "sg": "No. 10",
  "final_energy_ev_per_atom": -6.01,
  "formation_enthalpy_0k_mev_per_atom": -38.1,
  "lattice_angstrom": [[2.763, 0.000, 0.015], [0.000, 3.846, 0.000], [2.724, 0.000, 5.546]],
  "species": ["Ni", "Pt", "Pt", "Pt"],
  "fractional_positions": [[0.000, 0.000, 0.000], [0.739, 0.500, 0.760], [0.500, 0.000, 0.500], [0.261, 0.500, 0.240]]
}

No. 7
{
  "formula": "NiPt3",
  "functional": "GGA-PBE",
  "state": "optimized geometry",
  "volume_a3_per_cell": 58.9,
  "sg": "No. 12",
  "final_energy_ev_per_atom": -6.03,
  "formation_enthalpy_0k_mev_per_atom": -51.7,
  "lattice_angstrom": [[-1.496, -1.326, -1.898], [2.145, -3.337, 2.643], [-3.933, 0.737, 2.584]],
  "species": ["Ni", "Pt", "Pt", "Pt"],
  "fractional_positions": [[0.000, 0.000, 0.000], [0.743, 0.487, 0.243], [0.500, 0.000, 0.500], [0.257, 0.513, 0.757]]
}

No. 8
{
  "formula": "Ni3Pt",
  "functional": "GGA-PBE",
  "state": "optimized geometry",
  "volume_a3_per_cell": 196.7,
  "sg": "No. 62",
  "final_energy_ev_per_atom": -5.88,
  "formation_enthalpy_0k_mev_per_atom": -35.6,
  "lattice_angstrom": [[4.522, 0.000, 0.000], [0.000, 8.395, 0.000], [0.000, 0.000, 5.182]],
  "species": ["Ni", "Ni", "Ni", "Ni", "Ni", "Ni", "Ni", "Ni", "Ni", "Ni", "Ni", "Ni", "Pt", "Pt", "Pt", "Pt"],
  "fractional_positions": [[0.919, 0.250, 0.875], [0.259, 0.998, 0.370], [0.259, 0.502, 0.370], [0.241, 0.498, 0.870], [0.241, 0.002, 0.870], [0.581, 0.750, 0.375], [0.419, 0.250, 0.625], [0.759, 0.998, 0.130], [0.759, 0.502, 0.130], [0.741, 0.498, 0.630], [0.741, 0.002, 0.630], [0.081, 0.750, 0.125], [0.077, 0.750, 0.613], [0.423, 0.250, 0.113], [0.577, 0.750, 0.887], [0.923, 0.250, 0.387]]
}

No. 9
{
  "formula": "Ni5Pt4",
  "functional": "GGA-PBE",
  "state": "optimized geometry",
  "volume_a3_per_cell": 242.8,
  "sg": "No. 193",
  "final_energy_ev_per_atom": -5.84,
  "formation_enthalpy_0k_mev_per_atom": 52.9,
  "lattice_angstrom": [[7.373, 0.000, 0.000], [3.686, 6.385, 0.000], [0.000, 0.000, 5.157]],
  "species": ["Ni", "Ni", "Ni", "Ni", "Ni", "Ni", "Ni", "Ni", "Ni", "Ni", "Pt", "Pt", "Pt", "Pt", "Pt", "Pt", "Pt", "Pt"],
  "fractional_positions": [[0.321, 0.679, 0.250], [0.000, 0.321, 0.250], [0.679, 0.000, 0.250], [0.679, 0.321, 0.750], [0.000, 0.679, 0.750], [0.321, 0.000, 0.750], [0.333, 0.333, 0.000], [0.667, 0.667, 0.500], [0.667, 0.667, 0.000], [0.333, 0.333, 0.500], [0.000, 0.000, 0.000], [0.000, 0.000, 0.500], [0.649, 0.351, 0.250], [0.000, 0.649, 0.250], [0.351, 0.000, 0.250], [0.351, 0.649, 0.750], [0.000, 0.351, 0.750], [0.649, 0.000, 0.750]]
}

No. 10
{
  "formula": "Ni5Pt2",
  "functional": "GGA-PBE",
  "state": "optimized geometry",
  "volume_a3_per_cell": 86.9,
  "sg": "No. 12",
  "final_energy_ev_per_atom": -5.92,
  "formation_enthalpy_0k_mev_per_atom": -63.2,
  "lattice_angstrom": [[3.709, 0.000, 0.000], [0.000, 5.816, -0.002], [1.855, -0.612, 4.027]],
  "species": ["Ni", "Ni", "Ni", "Ni", "Ni", "Pt", "Pt"],
  "fractional_positions": [[0.001, 0.011, 0.999], [0.291, 0.144, 0.417], [0.566, 0.285, 0.868], [0.856, 0.418, 0.287], [0.429, 0.714, 0.143], [0.140, 0.560, 0.721], [0.718, 0.868, 0.565]]
}

No. 11
{
  "formula": "Ni5Pt7",
  "functional": "GGA-PBE",
  "state": "optimized geometry",
  "volume_a3_per_cell": 167.1,
  "sg": "No. 6",
  "final_energy_ev_per_atom": -5.98,
  "formation_enthalpy_0k_mev_per_atom": -51.0,
  "lattice_angstrom": [[-3.214, 7.623, 4.263], [-0.887, -1.534, 2.075], [5.829, 0.661, 2.982]],
  "species": ["Ni", "Ni", "Ni", "Ni", "Ni", "Pt", "Pt", "Pt", "Pt", "Pt", "Pt", "Pt"],
  "fractional_positions": [[0.998, 0.000, 0.010], [0.089, 0.500, 0.338], [0.166, 0.000, 0.655], [0.321, 0.000, 0.326], [0.758, 0.500, 0.006], [0.232, 0.500, 0.002], [0.401, 0.500, 0.651], [0.497, 0.000, 0.997], [0.581, 0.500, 0.331], [0.674, 0.000, 0.677], [0.847, 0.000, 0.327], [0.935, 0.500, 0.683]]
}

No. 12
{
  "formula": "Ni7Pt5",
  "functional": "GGA-PBE",
  "state": "optimized geometry",
  "volume_a3_per_cell": 156.8,
  "sg": "No. 10",
  "final_energy_ev_per_atom": -5.93,
  "formation_enthalpy_0k_mev_per_atom": -42.7,
  "lattice_angstrom": [[-1.996, 0.859, -1.596], [3.927, -2.840, -6.440], [-2.035, -7.298, -1.384]],
  "species": ["Ni", "Ni", "Ni", "Ni", "Ni", "Ni", "Ni", "Pt", "Pt", "Pt", "Pt", "Pt"],
  "fractional_positions": [[0.000, 0.004, 0.013], [0.500, 0.083, 0.250], [0.000, 0.163, 0.487], [0.000, 0.320, 0.014], [0.500, 0.389, 0.250], [0.500, 0.778, 0.250], [0.000, 0.846, 0.486], [0.500, 0.247, 0.753], [0.000, 0.510, 0.468], [0.500, 0.583, 0.750], [0.000, 0.656, 0.032], [0.500, 0.920, 0.747]]
}

No. 13
{
  "formula": "Ni13Pt3",
  "functional": "GGA-PBE",
  "state": "optimized geometry",
  "volume_a3_per_cell": 191.0,
  "sg": "No. 38",
  "final_energy_ev_per_atom": -5.86,
  "formation_enthalpy_0k_mev_per_atom": -33.8,
  "lattice_angstrom": [[5.151, -0.020, 0.000], [-0.018, 5.151, 0.000], [0.000, 0.000, 7.199]],
  "species": ["Ni", "Ni", "Ni", "Ni", "Ni", "Ni", "Ni", "Ni", "Ni", "Ni", "Ni", "Ni", "Ni", "Pt", "Pt", "Pt"],
  "fractional_positions": [[0.003, 0.500, 0.745], [0.495, 0.505, 0.746], [0.500, 0.997, 0.745], [0.249, 0.256, 0.000], [0.744, 0.751, 0.000], [0.256, 0.744, 0.000], [0.003, 0.500, 0.255], [0.495, 0.505, 0.254], [0.500, 0.997, 0.255], [0.743, 0.257, 0.500], [0.260, 0.257, 0.500], [0.743, 0.740, 0.500], [0.260, 0.740, 0.500], [0.006, 0.994, 0.743], [0.739, 0.261, 0.000], [0.006, 0.994, 0.257]]
}

No. 14
{
  "formula": "Ni5Pt7",
  "functional": "GGA-PBE",
  "state": "optimized geometry",
  "volume_a3_per_cell": 167.1,
  "sg": "No. 2",
  "final_energy_ev_per_atom": -6.00,
  "formation_enthalpy_0k_mev_per_atom": -63.8,
  "lattice_angstrom": [[-3.131, 0.960, -6.331], [1.326, -3.868, -3.503], [-3.701, -2.528, 1.389]],
  "species": ["Ni", "Ni", "Ni", "Ni", "Ni", "Pt", "Pt", "Pt", "Pt", "Pt", "Pt", "Pt"],
  "fractional_positions": [[0.997, 0.001, 0.005], [0.333, 0.083, 0.167], [0.670, 0.166, 0.328], [0.668, 0.419, 0.836], [0.998, 0.747, 0.497], [0.991, 0.236, 0.498], [0.339, 0.329, 0.660], [0.000, 0.497, 0.998], [0.333, 0.583, 0.167], [0.667, 0.669, 0.335], [0.328, 0.837, 0.673], [0.675, 0.931, 0.835]]
}

No. 15
{
  "formula": "Ni5Pt7",
  "functional": "GGA-PBE",
  "state": "optimized geometry",
  "volume_a3_per_cell": 167.0,
  "sg": "No. 65",
  "final_energy_ev_per_atom": -5.99,
  "formation_enthalpy_0k_mev_per_atom": -56.0,
  "lattice_angstrom": [[3.805, 0.000, 0.000], [0.000, 5.122, -1.780], [0.000, 0.096, 8.536]],
  "species": ["Ni", "Ni", "Ni", "Ni", "Ni", "Pt", "Pt", "Pt", "Pt", "Pt", "Pt", "Pt"],
  "fractional_positions": [[0.500, 0.166, 0.332], [0.000, 0.500, 0.500], [0.500, 0.834, 0.668], [0.500, 0.000, 0.000], [0.000, 0.000, 0.500], [0.000, 0.156, 0.825], [0.500, 0.500, 0.000], [0.000, 0.844, 0.175], [0.000, 0.669, 0.825], [0.000, 0.331, 0.175], [0.500, 0.677, 0.355], [0.500, 0.323, 0.645]]
}

No. 16
{
  "formula": "NiPt2",
  "functional": "GGA-PBE",
  "state": "optimized geometry",
  "volume_a3_per_cell": 87.0,
  "sg": "No. 140",
  "final_energy_ev_per_atom": -5.86,
  "formation_enthalpy_0k_mev_per_atom": 93.1,
  "lattice_angstrom": [[1.580, -4.637, -0.167], [-4.737, 1.167, 0.477], [1.149, 1.743, -4.435]],
  "species": ["Ni", "Ni", "Pt", "Pt", "Pt", "Pt"],
  "fractional_positions": [[0.250, 0.250, 0.000], [0.750, 0.750, 0.000], [0.655, 0.845, 0.500], [0.155, 0.655, 0.809], [0.845, 0.345, 0.191], [0.345, 0.155, 0.500]]
}

No. 17
{
  "formula": "NiPt",
  "functional": "GGA-PBE",
  "state": "optimized geometry",
  "volume_a3_per_cell": 27.4,
  "sg": "No. 187",
  "final_energy_ev_per_atom": -5.93,
  "formation_enthalpy_0k_mev_per_atom": -17.3,
  "lattice_angstrom": [[-0.249, 1.414, 2.320], [-2.221, -0.979, -1.245], [0.337, -3.600, 2.230]],
  "species": ["Ni", "Pt"],
  "fractional_positions": [[0.000, 0.000, 0.000], [0.333, 0.667, 0.500]]
}

No. 18
{
  "formula": "Ni4Pt3",
  "functional": "GGA-PBE",
  "state": "optimized geometry",
  "volume_a3_per_cell": 101.5,
  "sg": "No. 191",
  "final_energy_ev_per_atom": -5.60,
  "formation_enthalpy_0k_mev_per_atom": 290.0,
  "lattice_angstrom": [[2.574, -4.459, 0.000], [2.574, 4.459, 0.000], [0.000, 0.000, 4.423]],
  "species": ["Ni", "Ni", "Ni", "Ni", "Pt", "Pt", "Pt"],
  "fractional_positions": [[0.000, 0.000, 0.250], [0.000, 0.000, 0.750], [0.667, 0.333, 0.500], [0.333, 0.667, 0.500], [0.000, 0.500, 0.000], [0.500, 0.500, 0.000], [0.500, 0.000, 0.000]]
}

No. 19
{
  "formula": "Ni7Pt5",
  "functional": "GGA-PBE",
  "state": "optimized geometry",
  "volume_a3_per_cell": 158.3,
  "sg": "No. 21",
  "final_energy_ev_per_atom": -5.94,
  "formation_enthalpy_0k_mev_per_atom": -52.1,
  "lattice_angstrom": [[-2.366, 3.916, -0.348], [-1.578, -0.257, 7.843], [4.406, 0.897, 0.916]],
  "species": ["Ni", "Ni", "Ni", "Ni", "Ni", "Ni", "Ni", "Pt", "Pt", "Pt", "Pt", "Pt"],
  "fractional_positions": [[0.000, 0.007, 0.000], [0.500, 0.169, 0.000], [0.000, 0.327, 0.000], [0.500, 0.496, 0.000], [0.000, 0.667, 0.000], [0.000, 0.164, 0.500], [0.000, 0.837, 0.500], [0.500, 0.836, 0.000], [0.500, 0.004, 0.500], [0.500, 0.329, 0.500], [0.000, 0.497, 0.500], [0.500, 0.667, 0.500]]
}

No. 20
{
  "formula": "NiPt2",
  "functional": "GGA-PBE",
  "state": "optimized geometry",
  "volume_a3_per_cell": 85.5,
  "sg": "No. 12",
  "final_energy_ev_per_atom": -6.01,
  "formation_enthalpy_0k_mev_per_atom": -57.6,
  "lattice_angstrom": [[-1.200, 1.478, -4.332], [-3.513, 0.550, -3.123], [-2.838, 6.939, -0.098]],
  "species": ["Ni", "Ni", "Pt", "Pt", "Pt", "Pt"],
  "fractional_positions": [[0.020, 0.020, 0.945], [0.369, 0.369, 0.778], [0.362, 0.362, 0.270], [0.691, 0.691, 0.637], [0.698, 0.698, 0.085], [0.027, 0.027, 0.452]]
}